1.
{
  "formula": "CdCuGe2Sb",
  "functional": "PBE",
  "state": "relaxed",
  "lattice": [[5.518, 0.000, 0.000], [0.000, 5.518, 0.000], [0.000, 0.000, 4.729]],
  "species": ["Cd", "Cu", "Ge", "Ge", "Sb"],
  "frac_coords": [[0.000, 0.000, 0.000], [0.500, 0.500, 0.000], [0.000, 0.500, 0.500], [0.500, 0.000, 0.500], [0.500, 0.500, 0.500]],
  "raw_formation_energy_mev_per_atom": 772
}


2.
{
  "formula": "Cd2CuGeSb",
  "functional": "PBE",
  "state": "relaxed",
  "lattice": [[5.621, 0.000, 0.000], [0.000, 5.621, 0.000], [0.000, 0.000, 4.733]],
  "species": ["Cd", "Cd", "Cu", "Ge", "Sb"],
  "frac_coords": [[0.000, 0.500, 0.000], [0.500, 0.000, 0.000], [0.000, 0.000, 0.500], [0.500, 0.500, 0.500], [0.000, 0.000, 0.000]],
  "raw_formation_energy_mev_per_atom": 699
}


3.
{
  "formula": "SmCdCuGe",
  "functional": "PBE",
  "state": "relaxed",
  "lattice": [[0.000, 3.448, 3.448], [3.448, 0.000, 3.448], [3.448, 3.448, 0.000]],
  "species": ["Sm", "Cd", "Cu", "Ge"],
  "frac_coords": [[0.000, 0.000, 0.000], [0.500, 0.500, 0.500], [0.250, 0.250, 0.250], [0.750, 0.750, 0.750]],
  "formation_enthalpy_0k_ev_per_atom": -0.265
}


Listing size of the total moment for the structures above in their given order: 0.000 0.000 0.000 μB/f.u..